{
  "formula": "NaDyZn",
  "functional": "PBE",
  "state": "relaxed",
  "cell": [[-1.096, -1.162, 3.188], [2.050, -2.223, 1.888], [7.169, 10.915, 8.435]],
  "species": ["Na", "Na", "Dy", "Dy", "Zn", "Zn"],
  "fractional_positions": [[0.799, 0.799, 0.603], [0.201, 0.201, 0.397], [0.602, 0.602, 0.195], [0.398, 0.398, 0.805], [0.316, 0.316, 0.052], [0.684, 0.684, 0.948]],
  "mass_density_g_cm3": 4.9,
  "total_magnetization_mub_per_cell": 0.0,
  "space_group": "R-3m, No. 166",
  "e_tot_ev_per_cell": -14.0,
  "formation_energy_mev_per_atom": 70
}

---

{
  "formula": "NaDy2Zr",
  "functional": "PBE",
  "state": "relaxed",
  "cell": [[-3.024, 1.549, -0.297], [-1.510, -3.029, -0.422], [-1.381, -0.738, 10.231]],
  "species": ["Dy", "Dy", "Na", "Zr"],
  "fractional_positions": [[0.000, 0.000, 0.216], [0.000, 0.000, 0.784], [0.500, 0.500, 0.500], [0.500, 0.500, 0.000]],
  "mass_density_g_cm3": 6.1,
  "total_magnetization_mub_per_cell": 0.0,
  "space_group": "P4/mmm, No. 123",
  "e_tot_ev_per_cell": -18.6,
  "formation_energy_mev_per_atom": 117
}

---

{
  "formula": "Dy3Nb",
  "functional": "PBE",
  "state": "relaxed",
  "cell": [[-0.768, 2.154, 2.489], [-5.717, -1.453, -0.508], [3.926, -4.313, 2.650]],
  "species": ["Nb", "Dy", "Dy", "Dy"],
  "fractional_positions": [[0.000, 0.008, 0.000], [0.500, 0.475, 0.000], [0.734, 0.075, 0.467], [0.266, 0.608, 0.533]],
  "mass_density_g_cm3": 8.9,
  "total_magnetization_mub_per_cell": 0.0,
  "space_group": "Imm2, No. 44",
  "e_tot_ev_per_cell": -22.8,
  "formation_energy_mev_per_atom": 262
}

---

{
  "formula": "Dy5Nb",
  "functional": "PBE",
  "state": "relaxed",
  "cell": [[4.874, 0.000, 0.000], [0.000, 4.837, 0.000], [0.000, -2.419, 7.220]],
  "species": ["Dy", "Dy", "Dy", "Dy", "Dy", "Nb"],
  "fractional_positions": [[0.500, 0.157, 0.315], [0.500, 0.843, 0.685], [0.000, 0.655, 0.310], [0.000, 0.345, 0.690], [0.500, 0.500, 0.000], [0.000, 0.000, 0.000]],
  "mass_density_g_cm3": 8.8,
  "total_magnetization_mub_per_cell": 0.0,
  "space_group": "Cmmm, No. 65",
  "e_tot_ev_per_cell": -32.0,
  "formation_energy_mev_per_atom": 175
}

---

{
  "formula": "DyNb4",
  "functional": "PBE",
  "state": "relaxed",
  "cell": [[4.845, 0.000, 0.000], [0.000, 4.845, 0.000], [0.000, 0.000, 4.845]],
  "species": ["Nb", "Nb", "Nb", "Nb", "Dy"],
  "fractional_positions": [[0.000, 0.500, 0.500], [0.500, 0.000, 0.500], [0.500, 0.500, 0.000], [0.000, 0.000, 0.000], [0.500, 0.500, 0.500]],
  "mass_density_g_cm3": 7.8,
  "total_magnetization_mub_per_cell": 0.0,
  "space_group": "Pm-3m, No. 221",
  "e_tot_ev_per_cell": -34.8,
  "formation_energy_mev_per_atom": 2024
}

---

{
  "formula": "NdDy2Nb",
  "functional": "PBE",
  "state": "relaxed",
  "cell": [[3.321, 0.000, 0.000], [1.661, 2.876, 0.000], [1.661, 0.959, 11.767]],
  "species": ["Dy", "Dy", "Nb", "Nd"],
  "fractional_positions": [[0.918, 0.918, 0.246], [0.082, 0.082, 0.754], [0.000, 0.000, 0.000], [0.500, 0.500, 0.500]],
  "mass_density_g_cm3": 8.3,
  "total_magnetization_mub_per_cell": 0.5,
  "space_group": "R-3m, No. 166",
  "e_tot_ev_per_cell": -21.8,
  "formation_energy_mev_per_atom": 557
}

---

{
  "formula": "Dy2Nb2Ni15",
  "functional": "PBE",
  "state": "relaxed",
  "cell": [[6.372, 0.018, 0.016], [0.845, 6.315, 0.016], [0.845, 0.742, 6.272]],
  "species": ["Ni", "Ni", "Ni", "Ni", "Ni", "Ni", "Ni", "Ni", "Ni", "Ni", "Ni", "Ni", "Ni", "Ni", "Ni", "Dy", "Dy", "Nb", "Nb"],
  "fractional_positions": [[0.302, 0.698, 0.000], [0.000, 0.000, 0.500], [0.698, 0.302, 0.000], [0.000, 0.500, 0.000], [0.841, 0.345, 0.345], [0.655, 0.159, 0.655], [0.302, 0.000, 0.698], [0.698, 0.000, 0.302], [0.345, 0.345, 0.841], [0.345, 0.841, 0.345], [0.159, 0.655, 0.655], [0.500, 0.000, 0.000], [0.655, 0.655, 0.159], [0.000, 0.302, 0.698], [0.000, 0.698, 0.302], [0.349, 0.349, 0.349], [0.651, 0.651, 0.651], [0.899, 0.899, 0.899], [0.101, 0.101, 0.101]],
  "mass_density_g_cm3": 9.2,
  "total_magnetization_mub_per_cell": 0.1,
  "space_group": "R-3m, No. 166",
  "e_tot_ev_per_cell": -120.9,
  "formation_energy_mev_per_atom": -252
}

---

{
  "formula": "Dy2NbNi",
  "functional": "PBE",
  "state": "relaxed",
  "cell": [[3.268, 0.000, 0.000], [1.634, 2.830, 0.000], [1.634, 0.943, 9.873]],
  "species": ["Ni", "Dy", "Dy", "Nb"],
  "fractional_positions": [[0.500, 0.500, 0.500], [0.100, 0.100, 0.699], [0.900, 0.900, 0.301], [0.000, 0.000, 0.000]],
  "mass_density_g_cm3": 8.7,
  "total_magnetization_mub_per_cell": 0.9,
  "space_group": "R-3m, No. 166",
  "e_tot_ev_per_cell": -23.1,
  "formation_energy_mev_per_atom": 477
}

---

{
  "formula": "DyNbNi4",
  "functional": "PBE",
  "state": "relaxed",
  "cell": [[4.943, 0.000, 0.000], [2.471, 4.281, 0.000], [2.471, 1.427, 4.036]],
  "species": ["Dy", "Ni", "Ni", "Ni", "Ni", "Nb"],
  "fractional_positions": [[0.000, 0.000, 0.000], [0.127, 0.624, 0.624], [0.624, 0.624, 0.624], [0.624, 0.624, 0.127], [0.624, 0.127, 0.624], [0.250, 0.250, 0.250]],
  "mass_density_g_cm3": 9.5,
  "total_magnetization_mub_per_cell": 0.1,
  "space_group": "F-43m, No. 216",
  "e_tot_ev_per_cell": -39.0,
  "formation_energy_mev_per_atom": -200
}

---

{
  "formula": "Dy3NbO",
  "functional": "PBE",
  "state": "relaxed",
  "cell": [[-0.727, -4.538, -1.202], [1.733, -1.390, 4.199], [-4.363, 0.205, 1.868]],
  "species": ["Nb", "Dy", "Dy", "Dy", "O"],
  "fractional_positions": [[0.500, 0.500, 0.500], [0.000, 0.000, 0.500], [0.000, 0.500, 0.000], [0.500, 0.000, 0.000], [0.000, 0.000, 0.000]],
  "mass_density_g_cm3": 9.2,
  "total_magnetization_mub_per_cell": 0.0,
  "space_group": "Pm-3m, No. 221",
  "e_tot_ev_per_cell": -33.9
}

---

{
  "formula": "Dy3NbO7",
  "functional": "PBE",
  "state": "relaxed",
  "cell": [[-0.501, 6.369, -1.272], [-5.952, -2.326, 1.267], [0.950, 1.525, 7.262]],
  "species": ["O", "O", "O", "O", "O", "O", "O", "O", "O", "O", "O", "O", "O", "O", "Dy", "Dy", "Dy", "Dy", "Dy", "Dy", "Nb", "Nb"],
  "fractional_positions": [[0.305, 0.047, 0.049], [0.915, 0.668, 0.022], [0.695, 0.953, 0.549], [0.332, 0.085, 0.478], [0.360, 0.640, 0.750], [0.629, 0.371, 0.750], [0.047, 0.305, 0.951], [0.953, 0.695, 0.451], [0.928, 0.072, 0.250], [0.640, 0.360, 0.250], [0.668, 0.915, 0.978], [0.085, 0.332, 0.522], [0.072, 0.928, 0.750], [0.371, 0.629, 0.250], [0.541, 0.541, 0.000], [0.459, 0.459, 0.500], [0.463, 0.000, 0.761], [0.000, 0.537, 0.739], [0.000, 0.463, 0.239], [0.537, 0.000, 0.261], [0.003, 0.003, 0.000], [0.997, 0.997, 0.500]],
  "mass_density_g_cm3": 7.6,
  "total_magnetization_mub_per_cell": 0.0,
  "space_group": "C222_1, No. 20",
  "e_tot_ev_per_cell": -190.1
}

---

{
  "formula": "Dy2NbO6",
  "functional": "PBE",
  "state": "relaxed",
  "cell": [[-2.523, 4.360, 0.524], [-4.369, -2.430, -0.811], [-0.893, -1.711, 9.940]],
  "species": ["Nb", "Nb", "O", "O", "O", "O", "O", "O", "O", "O", "O", "O", "O", "O", "Dy", "Dy", "Dy", "Dy"],
  "fractional_positions": [[0.000, 0.000, 0.000], [0.500, 0.500, 0.500], [0.687, 0.687, 0.649], [0.216, 0.784, 0.500], [0.284, 0.284, 0.000], [0.813, 0.187, 0.149], [0.187, 0.813, 0.149], [0.716, 0.716, 0.000], [0.813, 0.187, 0.851], [0.687, 0.687, 0.351], [0.784, 0.216, 0.500], [0.313, 0.313, 0.351], [0.187, 0.813, 0.851], [0.313, 0.313, 0.649], [0.000, 0.000, 0.669], [0.500, 0.500, 0.169], [0.000, 0.000, 0.331], [0.500, 0.500, 0.831]],
  "mass_density_g_cm3": 6.6,
  "total_magnetization_mub_per_cell": 2.0,
  "space_group": "P4_2/mnm, No. 136",
  "e_tot_ev_per_cell": -150.2
}